# PBE-GGA SmMgRu, relaxed
# Formation energy from the elements (eV per atom): -0.01
# Symmetry: P4_2/mmc (131)
data_SmMgRu
_chemical_formula_sum 'Sm2 Mg2 Ru2'
_symmetry_space_group_name_H-M 'P 1'
_symmetry_Int_Tables_number 1
_cell_length_a 4.733
_cell_length_b 4.733
_cell_length_c 6.370
_cell_angle_alpha 90.00
_cell_angle_beta 90.00
_cell_angle_gamma 90.00
loop_
_symmetry_equiv_pos_as_xyz
'x,y,z'
loop_
_atom_site_label
_atom_site_fract_x
_atom_site_fract_y
_atom_site_fract_z
Sm1 0.000 0.500 0.000
Sm2 0.500 0.000 0.500
Mg1 0.000 0.500 0.500
Mg2 0.500 0.000 0.000
Ru1 0.000 0.000 0.250
Ru2 0.000 0.000 0.750

# PBE-GGA NbIn3Ru, relaxed
# Formation energy from the elements (eV per atom): 1.40
# Symmetry: Pm-3m (221)
data_NbIn3Ru
_chemical_formula_sum 'Nb1 In3 Ru1'
_symmetry_space_group_name_H-M 'P 1'
_symmetry_Int_Tables_number 1
_cell_length_a 5.304
_cell_length_b 5.304
_cell_length_c 5.304
_cell_angle_alpha 90.00
_cell_angle_beta 90.00
_cell_angle_gamma 90.00
loop_
_symmetry_equiv_pos_as_xyz
'x,y,z'
loop_
_atom_site_label
_atom_site_fract_x
_atom_site_fract_y
_atom_site_fract_z
Nb1 0.000 0.000 0.000
In1 0.000 0.000 0.500
In2 0.000 0.500 0.000
In3 0.500 0.000 0.000
Ru1 0.500 0.500 0.500

# PBE-GGA CsNbMo3, relaxed
# Formation energy from the elements (eV per atom): 3.21
# Symmetry: Pm-3m (221)
# Relative energy among the computed polymorphs (meV/atom): 1107
data_CsNbMo3
_chemical_formula_sum 'Cs1 Nb1 Mo3'
_symmetry_space_group_name_H-M 'P 1'
_symmetry_Int_Tables_number 1
_cell_length_a 4.843
_cell_length_b 4.843
_cell_length_c 4.843
_cell_angle_alpha 90.00
_cell_angle_beta 90.00
_cell_angle_gamma 90.00
loop_
_symmetry_equiv_pos_as_xyz
'x,y,z'
loop_
_atom_site_label
_atom_site_fract_x
_atom_site_fract_y
_atom_site_fract_z
Cs1 0.000 0.000 0.000
Nb1 0.500 0.500 0.500
Mo1 0.000 0.000 0.500
Mo2 0.000 0.500 0.000
Mo3 0.500 0.000 0.000

# PBE-GGA Th8AsOs3Se4, relaxed
# Symmetry: R-3m (166)
data_Th8AsOs3Se4
_chemical_formula_sum 'Th8 As1 Os3 Se4'
_symmetry_space_group_name_H-M 'P 1'
_symmetry_Int_Tables_number 1
_cell_length_a 8.673
_cell_length_b 8.673
_cell_length_c 8.673
_cell_angle_alpha 57.59
_cell_angle_beta 57.59
_cell_angle_gamma 57.59
loop_
_symmetry_equiv_pos_as_xyz
'x,y,z'
loop_
_atom_site_label
_atom_site_fract_x
_atom_site_fract_y
_atom_site_fract_z
Th1 0.227 0.748 0.748
Th2 0.238 0.238 0.238
Th3 0.252 0.252 0.773
Th4 0.252 0.773 0.252
Th5 0.748 0.227 0.748
Th6 0.748 0.748 0.227
Th7 0.762 0.762 0.762
Th8 0.773 0.252 0.252
As1 0.500 0.500 0.500
Os1 0.000 0.000 0.500
Os2 0.000 0.500 0.000
Os3 0.500 0.000 0.000
Se1 0.000 0.000 0.000
Se2 0.000 0.500 0.500
Se3 0.500 0.000 0.500
Se4 0.500 0.500 0.000

# PBE-GGA CdHgW2, relaxed
# Formation energy from the elements (eV per atom): 1.19
# Symmetry: Fm-3m (225)
# Relative energy among the computed polymorphs (meV/atom): 759
data_CdHgW2
_chemical_formula_sum 'Cd4 Hg4 W8'
_symmetry_space_group_name_H-M 'P 1'
_symmetry_Int_Tables_number 1
_cell_length_a 6.581
_cell_length_b 6.581
_cell_length_c 6.581
_cell_angle_alpha 90.00
_cell_angle_beta 90.00
_cell_angle_gamma 90.00
loop_
_symmetry_equiv_pos_as_xyz
'x,y,z'
loop_
_atom_site_label
_atom_site_fract_x
_atom_site_fract_y
_atom_site_fract_z
Cd1 0.000 0.000 0.000
Cd2 0.000 0.500 0.500
Cd3 0.500 0.000 0.500
Cd4 0.500 0.500 0.000
Hg1 0.000 0.000 0.500
Hg2 0.000 0.500 0.000
Hg3 0.500 0.000 0.000
Hg4 0.500 0.500 0.500
W1 0.250 0.250 0.250
W2 0.250 0.250 0.750
W3 0.250 0.750 0.250
W4 0.250 0.750 0.750
W5 0.750 0.250 0.250
W6 0.750 0.250 0.750
W7 0.750 0.750 0.250
W8 0.750 0.750 0.750

# PBE-GGA PmFe12B6, relaxed
# Formation energy from the elements (eV per atom): -0.28
# Symmetry: R-3m (166)
data_PmFe12B6
_chemical_formula_sum 'Pm1 Fe12 B6'
_symmetry_space_group_name_H-M 'P 1'
_symmetry_Int_Tables_number 1
_cell_length_a 6.049
_cell_length_b 6.049
_cell_length_c 6.049
_cell_angle_alpha 104.31
_cell_angle_beta 104.31
_cell_angle_gamma 104.31
loop_
_symmetry_equiv_pos_as_xyz
'x,y,z'
loop_
_atom_site_label
_atom_site_fract_x
_atom_site_fract_y
_atom_site_fract_z
Pm1 0.000 0.000 0.000
Fe1 0.130 0.500 0.870
Fe2 0.130 0.870 0.500
Fe3 0.187 0.455 0.455
Fe4 0.455 0.187 0.455
Fe5 0.455 0.455 0.187
Fe6 0.500 0.130 0.870
Fe7 0.500 0.870 0.130
Fe8 0.545 0.545 0.813
Fe9 0.545 0.813 0.545
Fe10 0.813 0.545 0.545
Fe11 0.870 0.130 0.500
Fe12 0.870 0.500 0.130
B1 0.231 0.231 0.689
B2 0.231 0.689 0.231
B3 0.311 0.769 0.769
B4 0.689 0.231 0.231
B5 0.769 0.311 0.769
B6 0.769 0.769 0.311

# PBE-GGA HIrCl, relaxed
# Symmetry: P-1 (2)
data_HIrCl
_chemical_formula_sum 'H2 Ir2 Cl2'
_symmetry_space_group_name_H-M 'P 1'
_symmetry_Int_Tables_number 1
_cell_length_a 2.914
_cell_length_b 5.385
_cell_length_c 6.555
_cell_angle_alpha 108.40
_cell_angle_beta 97.07
_cell_angle_gamma 90.04
loop_
_symmetry_equiv_pos_as_xyz
'x,y,z'
loop_
_atom_site_label
_atom_site_fract_x
_atom_site_fract_y
_atom_site_fract_z
H1 0.169 0.402 0.209
H2 0.831 0.598 0.791
Ir1 0.228 0.642 0.422
Ir2 0.772 0.358 0.578
Cl1 0.317 0.093 0.744
Cl2 0.683 0.907 0.256

# PBE-GGA TcNiP, relaxed
# Formation energy from the elements (eV per atom): -0.27
# Symmetry: Pm (6)
# Relative energy among the computed polymorphs (meV/atom): 228
data_TcNiP
_chemical_formula_sum 'Tc2 Ni2 P2'
_symmetry_space_group_name_H-M 'P 1'
_symmetry_Int_Tables_number 1
_cell_length_a 4.587
_cell_length_b 2.896
_cell_length_c 6.166
_cell_angle_alpha 90.00
_cell_angle_beta 105.77
_cell_angle_gamma 90.00
loop_
_symmetry_equiv_pos_as_xyz
'x,y,z'
loop_
_atom_site_label
_atom_site_fract_x
_atom_site_fract_y
_atom_site_fract_z
Tc1 0.000 0.000 0.000
Tc2 0.379 0.500 0.352
Ni1 0.451 0.500 0.922
Ni2 0.961 0.500 0.623
P1 0.576 0.000 0.668
P2 0.831 0.500 0.245

# PBE-GGA Sr3ZnNi3, relaxed
# Formation energy from the elements (eV per atom): -0.10
# Symmetry: Cmcm (63)
data_Sr3ZnNi3
_chemical_formula_sum 'Sr6 Zn2 Ni6'
_symmetry_space_group_name_H-M 'P 1'
_symmetry_Int_Tables_number 1
_cell_length_a 5.932
_cell_length_b 5.932
_cell_length_c 13.462
_cell_angle_alpha 90.00
_cell_angle_beta 90.00
_cell_angle_gamma 136.76
loop_
_symmetry_equiv_pos_as_xyz
'x,y,z'
loop_
_atom_site_label
_atom_site_fract_x
_atom_site_fract_y
_atom_site_fract_z
Sr1 0.013 0.987 0.750
Sr2 0.273 0.727 0.106
Sr3 0.273 0.727 0.394
Sr4 0.727 0.273 0.606
Sr5 0.727 0.273 0.894
Sr6 0.987 0.013 0.250
Zn1 0.000 0.000 0.000
Zn2 0.000 0.000 0.500
Ni1 0.336 0.664 0.750
Ni2 0.439 0.561 0.582
Ni3 0.439 0.561 0.918
Ni4 0.561 0.439 0.082
Ni5 0.561 0.439 0.418
Ni6 0.664 0.336 0.250

# PBE-GGA InRe3Pt, relaxed
# Formation energy from the elements (eV per atom): 2.26
# Symmetry: Pm-3m (221)
# Relative energy among the computed polymorphs (meV/atom): 0
data_InRe3Pt
_chemical_formula_sum 'In1 Re3 Pt1'
_symmetry_space_group_name_H-M 'P 1'
_symmetry_Int_Tables_number 1
_cell_length_a 4.781
_cell_length_b 4.781
_cell_length_c 4.781
_cell_angle_alpha 90.00
_cell_angle_beta 90.00
_cell_angle_gamma 90.00
loop_
_symmetry_equiv_pos_as_xyz
'x,y,z'
loop_
_atom_site_label
_atom_site_fract_x
_atom_site_fract_y
_atom_site_fract_z
In1 0.000 0.000 0.000
Re1 0.000 0.500 0.500
Re2 0.500 0.000 0.500
Re3 0.500 0.500 0.000
Pt1 0.500 0.500 0.500

# PBE-GGA LiAg3Hg3, relaxed
# Formation energy from the elements (eV per atom): 0.38
# Symmetry: Pm-3n (223)
# Relative energy among the computed polymorphs (meV/atom): 445
data_LiAg3Hg3
_chemical_formula_sum 'Li2 Ag6 Hg6'
_symmetry_space_group_name_H-M 'P 1'
_symmetry_Int_Tables_number 1
_cell_length_a 7.785
_cell_length_b 7.785
_cell_length_c 7.785
_cell_angle_alpha 90.00
_cell_angle_beta 90.00
_cell_angle_gamma 90.00
loop_
_symmetry_equiv_pos_as_xyz
'x,y,z'
loop_
_atom_site_label
_atom_site_fract_x
_atom_site_fract_y
_atom_site_fract_z
Li1 0.000 0.000 0.000
Li2 0.500 0.500 0.500
Ag1 0.000 0.250 0.500
Ag2 0.000 0.750 0.500
Ag3 0.250 0.500 0.000
Ag4 0.500 0.000 0.250
Ag5 0.500 0.000 0.750
Ag6 0.750 0.500 0.000
Hg1 0.000 0.500 0.250
Hg2 0.000 0.500 0.750
Hg3 0.250 0.000 0.500
Hg4 0.500 0.250 0.000
Hg5 0.500 0.750 0.000
Hg6 0.750 0.000 0.500

# PBE-GGA Tm6PbSe3S2, relaxed
# Symmetry: C2/m (12)
data_Tm6PbSe3S2
_chemical_formula_sum 'Tm6 Pb1 Se3 S2'
_symmetry_space_group_name_H-M 'P 1'
_symmetry_Int_Tables_number 1
_cell_length_a 9.045
_cell_length_b 9.045
_cell_length_c 8.145
_cell_angle_alpha 103.42
_cell_angle_beta 103.42
_cell_angle_gamma 25.55
loop_
_symmetry_equiv_pos_as_xyz
'x,y,z'
loop_
_atom_site_label
_atom_site_fract_x
_atom_site_fract_y
_atom_site_fract_z
Tm1 0.009 0.009 0.267
Tm2 0.327 0.327 0.427
Tm3 0.327 0.327 0.889
Tm4 0.673 0.673 0.111
Tm5 0.673 0.673 0.573
Tm6 0.991 0.991 0.733
Pb1 0.500 0.500 0.000
Se1 0.163 0.163 0.833
Se2 0.500 0.500 0.500
Se3 0.837 0.837 0.167
S1 0.169 0.169 0.340
S2 0.831 0.831 0.660

Raw total energy
In order: -31.26 -20.57 -27.35 -129.31 -89.46 -151.71 -27.38 -44.76 -48.74 -34.81 -17.36 -67.49
Unit: eV for the cell shown